# 1
Entry from Alexandria: Zr2TeCl after structural relaxation (GGA-PBE).

Structure (POSCAR):
```
Zr2TeCl
1.0
-0.926 -2.243 5.962
4.074 -3.399 3.646
-0.530 5.211 -3.743
Cl Te Zr
1 1 2
Cartesian
1.574 -2.821 4.804
0.059 0.073 3.512
0.000 0.000 0.000
2.559 -0.505 2.354
```

Properties
**Uncorrected formation energy**: -0.27 eV/atom

=====

# 2
Entry from Alexandria: SrYMo3 after structural relaxation (GGA-PBE).

Structure (POSCAR):
```
SrYMo3
1.0
5.021 0.000 0.000
0.000 5.021 0.000
0.000 0.000 5.021
Y Sr Mo
1 1 3
Cartesian
0.000 0.000 0.000
2.510 2.510 2.510
0.000 2.510 0.000
0.000 0.000 2.510
2.510 0.000 0.000
```

Properties
**Energy of formation from the pure elements**: 10.29 eV per formula unit

=====

# 3
Entry from Alexandria: Sc3Tl after structural relaxation (GGA-PBE).

Structure (POSCAR):
```
Sc3Tl
1.0
10.462 -0.003 -0.002
9.935 3.278 -0.002
9.935 1.595 2.863
Sc Tl
3 1
Cartesian
22.726 3.649 2.143
15.166 2.435 1.430
7.605 1.221 0.717
0.000 0.000 0.000
```

Properties
**Energy of formation from the pure elements**: -0.32 eV per formula unit

=====

# 4
Entry from Alexandria: In2AsBr after structural relaxation (GGA-PBE).

Structure (POSCAR):
```
In2AsBr
1.0
-1.336 3.366 0.739
-1.582 -0.204 -3.335
-6.244 -3.171 3.156
As Br In
1 1 2
Cartesian
-3.020 0.789 -0.509
-6.142 -0.797 1.069
-0.215 -0.109 0.109
-2.907 -1.476 1.469
```

Properties
**Uncorrected formation energy**: -0.10 eV/atom